1.
Compound: SrZnHPd2
Source: the Alexandria database
Functional: GGA-PBE
Structure: relaxed

Output
Calculated volume = 95 Å³/cell
Magnetic moment = 0.00 μB per formula unit
Uncorrected energy = -3.379 eV per atom

Cell lengths 4.9203, 4.9203, 3.9184 Å; angles 90.00, 90.00, 90.00 degrees
Space group P4/mmm (No. 123)
Unique sites:
Sr 0.0000 0.0000 0.0000 (multiplicity 1)
Zn 0.5000 0.5000 0.5000 (multiplicity 1)
H 0.5000 0.5000 0.0000 (multiplicity 1)
Pd 0.0000 0.5000 0.5000 (multiplicity 2)

2.
Compound: Li2AlIr
Source: the Alexandria database
Functional: GGA-PBE
Structure: relaxed

Output
Calculated volume = 115 Å³/cell
Magnetic moment = 0.11 μB per formula unit
Uncorrected energy = -4.294 eV per atom

Cell lengths 4.9838, 8.5405, 2.7025 Å; angles 90.00, 90.00, 90.00 degrees
Space group Cmmm (No. 65)
Unique sites:
Li 0.2500 0.2500 0.0000 (multiplicity 4)
Al 0.0000 0.0000 0.5000 (multiplicity 2)
Ir 0.0000 0.5000 0.5000 (multiplicity 2)

Look up the magnetic moment of the second one. 0.11 μB per formula unit

Number 1 is which compound? SrZnHPd2